Here is an optimized crystal structure of LaPmPrSm2 from Alexandria via LeMat-Bulk. Energies are from PBE-GGA.

a b c (Å): 6.709 8.552 6.338
angles (deg): 96.00 90.00 90.00
Element x y z (fractional)
La (0.000, 0.000, 0.000)
La (0.000, 0.000, 0.500)
Pm (0.567, 0.000, 0.250)
Pm (0.433, 0.000, 0.750)
Pr (0.163, 0.500, 0.750)
Pr (0.837, 0.500, 0.250)
Sm (0.683, 0.690, 0.786)
Sm (0.683, 0.310, 0.714)
Sm (0.317, 0.690, 0.286)
Sm (0.317, 0.310, 0.214)

E_form	0.251	eV per atom
density of states at the Fermi level	7.54	states/eV/f.u.
DFT total energy	-0.333	Ry per atom
density	6.66	g/cm3